(A)
Entry from the Alexandria database: a relaxed structure of LaOs3N (PBE).

## Properties
Volume ... 123 Å³/cell

abc: 4.9792 4.9792 4.9792
angles: 90.00 90.00 90.00
Space group Pm-3m (No. 221)
Inequivalent atoms, fractional coordinates:
La: 0.0000 0.0000 0.0000 x1
Os: 0.0000 0.0000 0.5000 x3
N: 0.5000 0.5000 0.5000 x1



(B)
Entry from the Alexandria database: a relaxed structure of LaOs3N (PBE).

## Properties
Volume ... 77 Å³/cell

abc: 4.2609 4.2609 4.2609
angles: 90.00 90.00 90.00
Space group Pm-3m (No. 221)
Inequivalent atoms, fractional coordinates:
La: 0.0000 0.0000 0.0000 x1
Os: 0.0000 0.5000 0.5000 x3
N: 0.5000 0.5000 0.5000 x1



Most stable one: (B), least stable one: (A).



(A)
Entry from the Alexandria database: a relaxed structure of LaOsSeN2 (PBE).

## Properties
Volume ... 83 Å³/cell

abc: 4.0055 4.0055 5.1587
angles: 90.00 90.00 90.00
Space group P4/mmm (No. 123)
Inequivalent atoms, fractional coordinates:
La: 0.0000 0.0000 0.0000 x1
Os: 0.5000 0.5000 0.5000 x1
Se: 0.5000 0.5000 0.0000 x1
N: 0.0000 0.5000 0.5000 x2



(B)
Entry from the Alexandria database: a relaxed structure of LaOsSeN2 (PBE).

## Properties
Volume ... 108 Å³/cell

abc: 4.1004 4.1004 6.4181
angles: 90.00 90.00 90.00
Space group P4/mmm (No. 123)
Inequivalent atoms, fractional coordinates:
La: 0.0000 0.0000 0.0000 x1
Os: 0.5000 0.5000 0.5000 x1
Se: 0.0000 0.0000 0.5000 x1
N: 0.0000 0.5000 0.0000 x2



Most stable one: (A), least stable one: (B).



(A)
Entry from the Alexandria database: a relaxed structure of La2PN (PBE).

## Properties
Volume ... 328 Å³/cell

abc: 6.8949 6.8949 6.8949
angles: 90.00 90.00 90.00
Space group Fm-3m (No. 225)
Inequivalent atoms, fractional coordinates:
La: 0.2500 0.2500 0.2500 x8
P: 0.0000 0.0000 0.0000 x4
N: 0.0000 0.0000 0.5000 x4



(B)
Entry from the Alexandria database: a relaxed structure of La2PN (PBE).

## Properties
Volume ... 392 Å³/cell

abc: 5.9778 5.9460 12.3798
angles: 90.00 116.93 90.00
Space group P2/c (No. 13)
Inequivalent atoms, fractional coordinates:
La: 0.0978 0.2245 0.1050 x4
La: 0.3197 0.2341 0.8552 x4
P: 0.3833 0.2647 0.3752 x4
N: 0.0493 0.1692 0.6233 x4



(C)
Entry from the Alexandria database: a relaxed structure of La2PN (PBE).

## Properties
Volume ... 270 Å³/cell

abc: 3.8746 3.8746 20.7498
angles: 90.00 90.00 120.00
Space group R3m (No. 160, hexagonal axes)
Inequivalent atoms, fractional coordinates:
La: 0.0000 0.0000 0.0000 x3
La: 0.0000 0.0000 0.1500 x3
P: 0.0000 0.0000 0.5766 x3
N: 0.0000 0.0000 0.7471 x3



(D)
Entry from the Alexandria database: a relaxed structure of La2PN (PBE).

## Properties
Volume ... 274 Å³/cell

abc: 3.9833 3.9833 19.9126
angles: 90.00 90.00 120.00
Space group R-3m (No. 166, hexagonal axes)
Inequivalent atoms, fractional coordinates:
La: 0.0000 0.0000 0.2402 x6
P: 0.0000 0.0000 0.0000 x3
N: 0.0000 0.0000 0.5000 x3



Most stable one: (B), least stable one: (A).



(A)
Entry from the Alexandria database: a relaxed structure of La4PN2 (PBE).

## Properties
Volume ... 625 Å³/cell

abc: 3.9473 12.6585 12.5066
angles: 90.00 90.00 90.00
Space group Cmcm (No. 63)
Inequivalent atoms, fractional coordinates:
La: 0.0000 0.0000 0.0000 x4
La: 0.0000 0.2730 0.1125 x8
La: 0.0000 0.4277 0.7500 x4
P: 0.0000 0.0962 0.7500 x4
N: 0.0000 0.3572 0.5584 x8



(B)
Entry from the Alexandria database: a relaxed structure of La4PN2 (PBE).

## Properties
Volume ... 380 Å³/cell

abc: 5.6440 5.6440 11.9215
angles: 90.00 90.00 90.00
Space group I4/mmm (No. 139)
Inequivalent atoms, fractional coordinates:
La: 0.0000 0.0000 0.2470 x4
La: 0.0000 0.5000 0.0000 x4
P: 0.0000 0.0000 0.5000 x2
N: 0.0000 0.0000 0.0558 x4



Most stable one: (A), least stable one: (B).



(A)
Entry from the Alexandria database: a relaxed structure of La2P2N (PBE).

## Properties
Volume ... 235 Å³/cell

abc: 5.8474 5.8474 6.8793
angles: 90.00 90.00 90.00
Space group I4/mmm (No. 139)
Inequivalent atoms, fractional coordinates:
La: 0.0000 0.5000 0.2500 x4
P: 0.0000 0.0000 0.2452 x4
N: 0.0000 0.0000 0.5000 x2



(B)
Entry from the Alexandria database: a relaxed structure of La2P2N (PBE).

## Properties
Volume ... 220 Å³/cell

abc: 7.3861 7.3861 4.0278
angles: 90.00 90.00 90.00
Space group P4/mbm (No. 127)
Inequivalent atoms, fractional coordinates:
La: 0.1597 0.3403 0.0000 x4
P: 0.1556 0.6556 0.5000 x4
N: 0.0000 0.0000 0.5000 x2



Most stable one: (A), least stable one: (B).



(A)
Entry from the Alexandria database: a relaxed structure of La4P2N (PBE).

## Properties
Volume ... 362 Å³/cell

abc: 4.8332 4.8332 15.5010
angles: 90.00 90.00 90.00
Space group I4/mmm (No. 139)
Inequivalent atoms, fractional coordinates:
La: 0.0000 0.0000 0.1723 x4
La: 0.0000 0.5000 0.0000 x4
P: 0.0000 0.0000 0.3650 x4
N: 0.0000 0.0000 0.0000 x2



(B)
Entry from the Alexandria database: a relaxed structure of La4P2N (PBE).

## Properties
Volume ... 368 Å³/cell

abc: 4.7318 4.7318 16.4263
angles: 90.00 90.00 90.00
Space group I4/mmm (No. 139)
Inequivalent atoms, fractional coordinates:
La: 0.0000 0.0000 0.1792 x4
La: 0.0000 0.5000 0.0000 x4
P: 0.0000 0.0000 0.3607 x4
N: 0.0000 0.0000 0.5000 x2



Most stable one: (A), least stable one: (B).



(A)
Entry from the Alexandria database: a relaxed structure of LaP2N2 (PBE).

## Properties
Volume ... 149 Å³/cell

abc: 4.0376 4.0376 9.1369
angles: 90.00 90.00 90.00
Space group I4/mmm (No. 139)
Inequivalent atoms, fractional coordinates:
La: 0.0000 0.0000 0.0000 x2
P: 0.0000 0.0000 0.2998 x4
N: 0.0000 0.5000 0.2500 x4



(B)
Entry from the Alexandria database: a relaxed structure of LaP2N2 (PBE).

## Properties
Volume ... 166 Å³/cell

abc: 7.4949 7.4949 2.9492
angles: 90.00 90.00 90.00
Space group P4/mbm (No. 127)
Inequivalent atoms, fractional coordinates:
La: 0.0000 0.0000 0.0000 x2
P: 0.1423 0.3577 0.0000 x4
N: 0.2374 0.2626 0.5000 x4



Most stable one: (B), least stable one: (A).



(A)
Entry from the Alexandria database: a relaxed structure of LaPS2N (PBE).

## Properties
Volume ... 188 Å³/cell

abc: 5.5905 5.5905 6.0138
angles: 90.00 90.00 90.00
Space group P4/mmm (No. 123)
Inequivalent atoms, fractional coordinates:
La: 0.0000 0.0000 0.0000 x1
P: 0.0000 0.0000 0.5000 x1
S: 0.0000 0.5000 0.0000 x2
N: 0.5000 0.5000 0.5000 x1



(B)
Entry from the Alexandria database: a relaxed structure of LaPS2N (PBE).

## Properties
Volume ... 84 Å³/cell

abc: 4.8161 4.8161 3.6169
angles: 90.00 90.00 90.00
Space group P4/mmm (No. 123)
Inequivalent atoms, fractional coordinates:
La: 0.0000 0.0000 0.0000 x1
P: 0.5000 0.5000 0.5000 x1
S: 0.0000 0.5000 0.5000 x2
N: 0.5000 0.5000 0.0000 x1



Most stable one: (B), least stable one: (A).